! GGA-PBE SrCr2Re, relaxed; values from VASP
! Magnetization: 0.00 μB/atom
! Distance to the lowest polymorph of the same formula: 0.0654 eV/atom
! Space group: No. 6
! Formation energy from the elements: 734 meV/atom
&SYSTEM
  ibrav = 0, nat = 4, ntyp = 3
/
ATOMIC_SPECIES
Re 186.21 Re.upf
Cr 52.00 Cr.upf
Sr 87.62 Sr.upf
CELL_PARAMETERS angstrom
3.1708 0.0000 0.0000
0.0000 3.1540 0.2619
0.0000 2.5293 7.6427
ATOMIC_POSITIONS crystal
Re 0.0000 0.5916 0.4084
Cr 0.0000 0.8999 0.1000
Cr 0.5000 0.2584 0.2412
Sr 0.5000 0.7502 0.7505